Entry a
# CoNi2Ir

Crystalline CoNi2Ir at its relaxed geometry (PBEsol, Alexandria via LeMat-Bulk).

## Properties
The value obtained for the density of states at the Fermi level is 6.09 states/eV/f.u. The space group is R-3m, No. 166.

```
CoNi2Ir
1.0
2.570 0.000 0.000
-1.285 2.226 0.000
0.000 0.000 24.438
Co Ni Ir
3 6 3
Cartesian
0.000 0.000 0.000
0.000 1.484 16.292
1.285 0.742 8.146
0.000 0.000 6.203
0.000 0.000 18.236
0.000 1.484 10.090
0.000 1.484 22.495
1.285 0.742 1.943
1.285 0.742 14.349
0.000 0.000 12.219
0.000 1.484 4.073
1.285 0.742 20.365
```

---

Entry b
# CoNi2Ir

Crystalline CoNi2Ir at its relaxed geometry (PBEsol, Alexandria via LeMat-Bulk).

## Properties
The value obtained for the density of states at the Fermi level is 5.97 states/eV/f.u. The space group is I-4m2, No. 119.

```
CoNi2Ir
1.0
3.556 0.000 0.000
0.000 3.556 0.000
0.000 0.000 7.098
Co Ni Ir
2 4 2
Cartesian
0.000 0.000 0.000
1.778 1.778 3.549
0.000 0.000 3.549
0.000 1.778 1.774
1.778 0.000 5.323
1.778 1.778 0.000
0.000 1.778 5.323
1.778 0.000 1.774
```

---

Entry c
# CoNi2Ir

Crystalline CoNi2Ir at its relaxed geometry (PBEsol, Alexandria via LeMat-Bulk).

## Properties
The value obtained for the density of states at the Fermi level is 5.88 states/eV/f.u. The space group is P4/mmm, No. 123.

```
CoNi2Ir
1.0
3.550 0.000 0.000
0.000 3.550 0.000
0.000 0.000 3.629
Co Ni Ir
1 2 1
Cartesian
0.000 0.000 0.000
0.000 1.775 1.814
1.775 0.000 1.814
1.775 1.775 0.000
```

---

Relative energies in meV per atom: entry a 67; entry b 0; entry c 27

---

Entry a
# CoNiIr

Crystalline CoNiIr at its relaxed geometry (PBEsol, Alexandria via LeMat-Bulk).

## Properties
The value obtained for the density of states at the Fermi level is 4.88 states/eV/f.u. The space group is Imm2, No. 44.

```
CoNiIr
1.0
2.598 0.000 0.000
0.000 3.531 0.000
0.000 0.000 7.598
Co Ni Ir
2 2 2
Cartesian
0.000 0.000 0.000
1.299 1.766 3.799
0.000 0.000 2.543
1.299 1.766 6.342
0.000 0.000 5.054
1.299 1.766 1.255
```

---

Entry b
# CoNiIr

Crystalline CoNiIr at its relaxed geometry (PBEsol, Alexandria via LeMat-Bulk).

## Properties
The value obtained for the density of states at the Fermi level is 4.50 states/eV/f.u. The space group is P3m1, No. 156.

```
CoNiIr
1.0
2.599 0.000 0.000
-1.299 2.251 0.000
0.000 0.000 6.139
Co Ni Ir
1 1 1
Cartesian
0.000 0.000 0.000
1.299 0.750 1.929
0.000 1.500 4.060
```

---

Relative energies in meV per atom: entry a 0; entry b 44

---

Entry a
# Co2IrOs

Crystalline Co2IrOs at its relaxed geometry (PBEsol, Alexandria via LeMat-Bulk).

## Properties
The value obtained for the density of states at the Fermi level is 7.31 states/eV/f.u. The space group is Pmmm, No. 47.

```
Co2IrOs
1.0
2.666 0.000 0.000
0.000 4.293 0.000
0.000 0.000 4.474
Co Ir Os
2 1 1
Cartesian
0.000 0.000 0.000
1.333 0.000 2.237
0.000 2.146 2.237
1.333 2.146 0.000
```

---

Entry b
# Co2IrOs

Crystalline Co2IrOs at its relaxed geometry (PBEsol, Alexandria via LeMat-Bulk).

## Properties
The value obtained for the density of states at the Fermi level is 4.45 states/eV/f.u. The space group is Pmm2, No. 25.

```
Co2IrOs
1.0
2.629 0.000 0.000
0.000 3.642 0.000
0.000 0.000 5.093
Co Ir Os
2 1 1
Cartesian
0.000 0.000 0.000
1.314 1.821 1.174
0.000 0.000 2.481
1.314 1.821 3.839
```

---

Relative energies in meV per atom: entry a 337; entry b 0

---

Entry a
# Co2IrOs

Crystalline Co2IrOs at its relaxed geometry (PBEsol, Alexandria via LeMat-Bulk).

## Properties
The value obtained for the density of states at the Fermi level is 6.47 states/eV/f.u. The space group is Cmmm, No. 65.

```
Co2IrOs
1.0
2.693 0.000 0.000
0.000 4.441 0.000
0.000 0.000 8.541
Co Ir Os
4 2 2
Cartesian
0.000 0.000 2.117
0.000 0.000 6.423
1.347 2.221 2.117
1.347 2.221 6.423
0.000 2.221 4.270
1.347 0.000 4.270
0.000 2.221 0.000
1.347 0.000 0.000
```

---

Entry b
# Co2IrOs

Crystalline Co2IrOs at its relaxed geometry (PBEsol, Alexandria via LeMat-Bulk).

## Properties
The value obtained for the density of states at the Fermi level is 4.86 states/eV/f.u. The space group is C2/m, No. 12.

```
Co2IrOs
1.0
8.399 0.000 0.000
0.000 2.620 0.000
-0.808 0.000 4.475
Co Ir Os
4 2 2
Cartesian
1.902 0.000 1.078
1.489 1.310 3.397
5.689 0.000 3.397
6.102 1.310 1.078
-0.404 0.000 2.238
3.795 1.310 2.238
0.000 1.310 0.000
4.199 0.000 0.000
```

---

Relative energies in meV per atom: entry a 283; entry b 0

---

Entry a
# Co2IrOs

Crystalline Co2IrOs at its relaxed geometry (PBEsol, Alexandria via LeMat-Bulk).

## Properties
The value obtained for the density of states at the Fermi level is 4.50 states/eV/f.u. The space group is Cm, No. 8.

```
Co2IrOs
1.0
8.587 0.000 0.000
0.000 2.617 0.000
-0.793 0.000 4.323
Co Ir Os
4 2 2
Cartesian
0.000 0.000 0.000
1.931 1.309 1.020
4.293 1.309 0.000
6.225 0.000 1.020
1.545 0.000 3.219
5.839 1.309 3.219
3.877 0.000 2.088
8.170 1.309 2.088
```

---

Entry b
# Co2IrOs

Crystalline Co2IrOs at its relaxed geometry (PBEsol, Alexandria via LeMat-Bulk).

## Properties
The value obtained for the density of states at the Fermi level is 7.37 states/eV/f.u. The space group is Immm, No. 71.

```
Co2IrOs
1.0
2.681 0.000 0.000
0.000 4.462 0.000
0.000 0.000 8.570
Co Ir Os
4 2 2
Cartesian
0.000 0.000 2.121
0.000 0.000 6.449
1.341 2.231 2.164
1.341 2.231 6.406
0.000 2.231 0.000
1.341 0.000 4.285
0.000 2.231 4.285
1.341 0.000 0.000
```

---

Entry c
# Co2IrOs

Crystalline Co2IrOs at its relaxed geometry (PBEsol, Alexandria via LeMat-Bulk).

## Properties
The value obtained for the density of states at the Fermi level is 4.63 states/eV/f.u. The space group is I-4m2, No. 119.

```
Co2IrOs
1.0
3.611 0.000 0.000
0.000 3.611 0.000
0.000 0.000 7.419
Co Ir Os
4 2 2
Cartesian
0.000 0.000 0.000
0.000 1.805 1.855
1.805 0.000 5.564
1.805 1.805 3.709
0.000 0.000 3.709
1.805 1.805 0.000
0.000 1.805 5.564
1.805 0.000 1.855
```

---

Relative energies in meV per atom: entry a 24; entry b 362; entry c 0

---

Entry a
# Co2IrOs

Crystalline Co2IrOs at its relaxed geometry (PBEsol, Alexandria via LeMat-Bulk).

## Properties
The value obtained for the density of states at the Fermi level is 4.30 states/eV/f.u. The space group is P4mm, No. 99.

```
Co2IrOs
1.0
2.649 0.000 0.000
0.000 2.649 0.000
0.000 0.000 6.993
Co Ir Os
2 1 1
Cartesian
0.000 0.000 0.000
1.324 1.324 1.555
0.000 0.000 3.346
1.324 1.324 5.253
```

---

Entry b
# Co2IrOs

Crystalline Co2IrOs at its relaxed geometry (PBEsol, Alexandria via LeMat-Bulk).

## Properties
The value obtained for the density of states at the Fermi level is 5.15 states/eV/f.u. The space group is R-3m, No. 166.

```
Co2IrOs
1.0
2.624 0.000 0.000
-1.312 2.272 0.000
0.000 0.000 24.835
Co Ir Os
6 3 3
Cartesian
0.000 0.000 6.194
0.000 0.000 18.641
0.000 1.515 10.363
0.000 1.515 22.751
1.312 0.757 2.084
1.312 0.757 14.473
0.000 0.000 0.000
0.000 1.515 16.557
1.312 0.757 8.278
0.000 0.000 12.418
0.000 1.515 4.139
1.312 0.757 20.696
```

---

Relative energies in meV per atom: entry a 0; entry b 13

---

Entry a
# Co2IrPt

Crystalline Co2IrPt at its relaxed geometry (PBEsol, Alexandria via LeMat-Bulk).

## Properties
The value obtained for the density of states at the Fermi level is 5.01 states/eV/f.u. The space group is Amm2, No. 38.

```
Co2IrPt
1.0
3.987 0.000 0.000
0.000 2.634 0.000
0.000 0.000 9.627
Co Ir Pt
4 2 2
Cartesian
0.000 0.000 0.000
0.000 1.317 4.813
1.993 0.000 1.251
1.993 1.317 6.064
1.993 0.000 3.837
1.993 1.317 8.651
0.000 0.000 7.105
0.000 1.317 2.292
```

---

Entry b
# Co2IrPt

Crystalline Co2IrPt at its relaxed geometry (PBEsol, Alexandria via LeMat-Bulk).

## Properties
The value obtained for the density of states at the Fermi level is 5.79 states/eV/f.u. The space group is Cm, No. 8.

```
Co2IrPt
1.0
8.685 0.000 0.000
0.000 2.638 0.000
-0.868 0.000 4.387
Co Ir Pt
4 2 2
Cartesian
0.000 0.000 0.000
1.883 1.319 1.095
4.343 1.319 0.000
6.225 0.000 1.095
3.841 0.000 2.096
8.183 1.319 2.096
1.484 0.000 3.335
5.826 1.319 3.335
```

---

Relative energies in meV per atom: entry a 15; entry b 0

---

Entry a
# Co2IrPt

Crystalline Co2IrPt at its relaxed geometry (PBEsol, Alexandria via LeMat-Bulk).

## Properties
The value obtained for the density of states at the Fermi level is 5.57 states/eV/f.u. The space group is P4/mmm, No. 123.

```
Co2IrPt
1.0
3.740 0.000 0.000
0.000 3.740 0.000
0.000 0.000 3.568
Co Ir Pt
2 1 1
Cartesian
0.000 1.870 0.000
1.870 0.000 0.000
0.000 0.000 1.784
1.870 1.870 1.784
```

---

Entry b
# Co2IrPt

Crystalline Co2IrPt at its relaxed geometry (PBEsol, Alexandria via LeMat-Bulk).

## Properties
The value obtained for the density of states at the Fermi level is 5.83 states/eV/f.u. The space group is Pmmm, No. 47.

```
Co2IrPt
1.0
2.637 0.000 0.000
0.000 3.560 0.000
0.000 0.000 5.293
Co Ir Pt
2 1 1
Cartesian
0.000 0.000 1.261
0.000 0.000 4.031
1.319 1.780 0.000
1.319 1.780 2.646
```

---

Relative energies in meV per atom: entry a 20; entry b 0

---

Entry a
# CoIrPt

Crystalline CoIrPt at its relaxed geometry (PBEsol, Alexandria via LeMat-Bulk).

## Properties
The value obtained for the density of states at the Fermi level is 4.12 states/eV/f.u. The space group is P3m1, No. 156.

```
CoIrPt
1.0
2.680 0.000 0.000
-1.340 2.321 0.000
0.000 0.000 6.436
Co Ir Pt
1 1 1
Cartesian
0.000 0.000 0.000
0.000 1.547 4.442
1.340 0.774 2.102
```

---

Entry b
# CoIrPt

Crystalline CoIrPt at its relaxed geometry (PBEsol, Alexandria via LeMat-Bulk).

## Properties
The value obtained for the density of states at the Fermi level is 4.32 states/eV/f.u. The space group is I4mm, No. 107.

```
CoIrPt
1.0
2.676 0.000 0.000
0.000 2.676 0.000
0.000 0.000 11.059
Co Ir Pt
2 2 2
Cartesian
0.000 0.000 0.000
1.338 1.338 5.529
0.000 0.000 7.206
1.338 1.338 1.677
0.000 0.000 3.702
1.338 1.338 9.232
```

---

Relative energies in meV per atom: entry a 11; entry b 0

---

Entry a
# CoRe2Ir

Crystalline CoRe2Ir at its relaxed geometry (PBEsol, Alexandria via LeMat-Bulk).

## Properties
The value obtained for the density of states at the Fermi level is 2.61 states/eV/f.u. The space group is Pmm2, No. 25.

```
CoRe2Ir
1.0
2.672 0.000 0.000
0.000 4.246 0.000
0.000 0.000 4.692
Co Re Ir
1 2 1
Cartesian
0.000 0.000 0.000
1.336 0.000 2.286
1.336 2.123 0.728
0.000 2.123 3.161
```

---

Entry b
# CoRe2Ir

Crystalline CoRe2Ir at its relaxed geometry (PBEsol, Alexandria via LeMat-Bulk).

## Properties
The value obtained for the density of states at the Fermi level is 4.54 states/eV/f.u. The space group is R-3m, No. 166.

```
CoRe2Ir
1.0
2.681 0.000 0.000
-1.340 2.322 0.000
0.000 0.000 25.935
Co Re Ir
3 6 3
Cartesian
0.000 0.000 0.000
0.000 1.548 17.290
1.340 0.774 8.645
0.000 0.000 6.580
0.000 0.000 19.355
0.000 1.548 10.710
0.000 1.548 23.870
1.340 0.774 2.065
1.340 0.774 15.225
0.000 0.000 12.967
0.000 1.548 4.322
1.340 0.774 21.612
```

---

Relative energies in meV per atom: entry a 0; entry b 219

---

Entry a
# CoReIr2

Crystalline CoReIr2 at its relaxed geometry (PBEsol, Alexandria via LeMat-Bulk).

## Properties
The value obtained for the density of states at the Fermi level is 4.60 states/eV/f.u. The space group is P4/mmm, No. 123.

```
CoReIr2
1.0
2.700 0.000 0.000
0.000 2.700 0.000
0.000 0.000 7.318
Co Re Ir
1 1 2
Cartesian
0.000 0.000 0.000
0.000 0.000 3.659
1.350 1.350 1.763
1.350 1.350 5.555
```

---

Entry b
# CoReIr2

Crystalline CoReIr2 at its relaxed geometry (PBEsol, Alexandria via LeMat-Bulk).

## Properties
The value obtained for the density of states at the Fermi level is 6.16 states/eV/f.u. The space group is Fm-3m, No. 225.

```
CoReIr2
1.0
6.015 0.000 0.000
0.000 6.015 0.000
0.000 0.000 6.015
Co Re Ir
4 4 8
Cartesian
0.000 0.000 0.000
0.000 3.007 3.007
3.007 0.000 3.007
3.007 3.007 0.000
0.000 0.000 3.007
0.000 3.007 0.000
3.007 0.000 0.000
3.007 3.007 3.007
1.504 1.504 1.504
1.504 1.504 4.511
1.504 4.511 1.504
1.504 4.511 4.511
4.511 1.504 1.504
4.511 1.504 4.511
4.511 4.511 1.504
4.511 4.511 4.511
```

---

Relative energies in meV per atom: entry a 0; entry b 456

---

Entry a
# CoReIr2

Crystalline CoReIr2 at its relaxed geometry (PBEsol, Alexandria via LeMat-Bulk).

## Properties
The value obtained for the density of states at the Fermi level is 4.16 states/eV/f.u. The space group is Pmmm, No. 47.

```
CoReIr2
1.0
2.683 0.000 0.000
0.000 3.738 0.000
0.000 0.000 5.303
Co Re Ir
1 1 2
Cartesian
0.000 0.000 0.000
0.000 0.000 2.651
1.342 1.869 1.290
1.342 1.869 4.013
```

---

Entry b
# CoReIr2

Crystalline CoReIr2 at its relaxed geometry (PBEsol, Alexandria via LeMat-Bulk).

## Properties
The value obtained for the density of states at the Fermi level is 4.06 states/eV/f.u. The space group is I4/mmm, No. 139.

```
CoReIr2
1.0
3.779 0.000 0.000
0.000 3.779 0.000
0.000 0.000 7.422
Co Re Ir
2 2 4
Cartesian
0.000 0.000 0.000
1.890 1.890 3.711
0.000 0.000 3.711
1.890 1.890 0.000
0.000 1.890 1.855
0.000 1.890 5.566
1.890 0.000 1.855
1.890 0.000 5.566
```

---

Relative energies in meV per atom: entry a 0; entry b 6

---

Entry a
# CoIrRh2

Crystalline CoIrRh2 at its relaxed geometry (PBEsol, Alexandria via LeMat-Bulk).

## Properties
The value obtained for the density of states at the Fermi level is 4.86 states/eV/f.u. The space group is I4/mmm, No. 139.

```
CoIrRh2
1.0
3.703 0.000 0.000
0.000 3.703 0.000
0.000 0.000 7.487
Co Ir Rh
2 2 4
Cartesian
0.000 0.000 0.000
1.852 1.852 3.743
0.000 0.000 3.743
1.852 1.852 0.000
0.000 1.852 1.872
0.000 1.852 5.615
1.852 0.000 1.872
1.852 0.000 5.615
```

---

Entry b
# CoIrRh2

Crystalline CoIrRh2 at its relaxed geometry (PBEsol, Alexandria via LeMat-Bulk).

## Properties
The value obtained for the density of states at the Fermi level is 4.53 states/eV/f.u. The space group is C2/m, No. 12.

```
CoIrRh2
1.0
8.724 0.000 0.000
0.000 2.654 0.000
-0.815 0.000 4.446
Co Ir Rh
2 2 4
Cartesian
0.000 0.000 0.000
4.362 1.327 0.000
-0.408 1.327 2.223
3.954 0.000 2.223
1.965 1.327 1.093
1.582 0.000 3.353
6.326 0.000 1.093
5.944 1.327 3.353
```

---

Entry c
# CoIrRh2

Crystalline CoIrRh2 at its relaxed geometry (PBEsol, Alexandria via LeMat-Bulk).

## Properties
The value obtained for the density of states at the Fermi level is 5.68 states/eV/f.u. The space group is P2/m, No. 10.

```
CoIrRh2
1.0
4.530 0.000 0.000
0.000 2.646 0.000
-1.492 0.000 4.312
Co Ir Rh
1 1 2
Cartesian
0.000 0.000 0.000
2.265 1.323 0.000
-0.746 1.323 2.156
1.519 0.000 2.156
```

---

Relative energies in meV per atom: entry a 0; entry b 11; entry c 33